[1]
This record from Alexandria via LeMat-Bulk describes a geometry-optimized Rb2MgAuI6 structure. The functional is PBE-GGA.

Summary:
- Magnetic moment: 0.00 μB/atom
- Relative energy among the computed polymorphs: 0 meV per atom
- Fermi-level density of states: 0.644 states/eV/atom
- Formation energy without anion corrections: -0.849 eV per atom

Structure (CIF):
```
data_Rb2MgAuI6
_chemical_formula_sum 'Rb4 Mg2 Au2 I12'
_cell_length_a 8.8031
_cell_length_b 8.4506
_cell_length_c 13.8872
_cell_angle_alpha 90.00
_cell_angle_beta 126.11
_cell_angle_gamma 90.00
_symmetry_space_group_name_H-M 'P 1 21/c 1'
_symmetry_Int_Tables_number 14
_symmetry_space_group_name_Hall '-P 2ybc'
loop_
_atom_site_label
_atom_site_type_symbol
_atom_site_fract_x
_atom_site_fract_y
_atom_site_fract_z
Rb1 Rb 0.2339 0.0428 0.2422
Mg1 Mg 0.0000 0.0000 0.5000
Au1 Au 0.5000 0.0000 0.0000
I1 I 0.1493 0.2488 0.4574
I2 I 0.2605 0.7388 0.9579
I3 I 0.3468 0.0275 0.7592
```

=====

[2]
This record from Alexandria via LeMat-Bulk describes a geometry-optimized SrThNpN3 structure. The functional is PBE-GGA.

Summary:
- Magnetic moment: 0.21 μB/atom
- Fermi-level density of states: 0.442 states/eV/atom
- Formation energy without anion corrections: -0.986 eV per atom

Structure (CIF):
```
data_SrThNpN3
_chemical_formula_sum 'Sr2 Th2 Np2 N6'
_cell_length_a 7.4722
_cell_length_b 3.7503
_cell_length_c 8.8821
_cell_angle_alpha 90.00
_cell_angle_beta 97.48
_cell_angle_gamma 90.00
_symmetry_space_group_name_H-M 'P 1 21/m 1'
_symmetry_Int_Tables_number 11
_symmetry_space_group_name_Hall '-P 2yb'
loop_
_atom_site_label
_atom_site_type_symbol
_atom_site_fract_x
_atom_site_fract_y
_atom_site_fract_z
Sr1 Sr 0.1559 0.2500 0.1444
Th1 Th 0.3702 0.7500 0.8426
Np1 Np 0.0554 0.2500 0.5851
N1 N 0.1225 0.2500 0.8328
N2 N 0.2131 0.7500 0.5843
N3 N 0.4149 0.7500 0.1106
```

=====

[3]
This record from Alexandria via LeMat-Bulk describes a geometry-optimized PrTiO4 structure. The functional is PBE-GGA.

Summary:
- Magnetic moment: 0.17 μB/atom
- Fermi-level density of states: 0.320 states/eV/atom
- Formation energy without anion corrections: -2.601 eV per atom

Structure (CIF):
```
data_PrTiO4
_chemical_formula_sum 'Pr4 Ti4 O16'
_cell_length_a 7.1894
_cell_length_b 9.9180
_cell_length_c 5.2247
_cell_angle_alpha 90.00
_cell_angle_beta 123.73
_cell_angle_gamma 90.00
_symmetry_space_group_name_H-M 'C 1 2/c 1'
_symmetry_Int_Tables_number 15
_symmetry_space_group_name_Hall '-C 2yc'
loop_
_atom_site_label
_atom_site_type_symbol
_atom_site_fract_x
_atom_site_fract_y
_atom_site_fract_z
Pr1 Pr 0.0000 0.1416 0.2500
Ti1 Ti 0.0000 0.4789 0.7500
O1 O 0.0954 0.3457 0.5642
O2 O 0.2348 0.0502 0.7750
```

=====

[4]
This record from Alexandria via LeMat-Bulk describes a geometry-optimized Mn2PtPb structure. The functional is PBE-GGA.

Summary:
- Magnetic moment: 2.07 μB/atom
- Fermi-level density of states: 0.474 states/eV/atom
- Formation enthalpy at 0 K: 0.25 eV per atom

Structure (CIF):
```
data_Mn2PtPb
_chemical_formula_sum 'Mn6 Pt3 Pb3'
_cell_length_a 3.2368
_cell_length_b 3.2368
_cell_length_c 25.4589
_cell_angle_alpha 90.00
_cell_angle_beta 90.00
_cell_angle_gamma 120.00
_symmetry_space_group_name_H-M 'R -3 m'
_symmetry_Int_Tables_number 166
_symmetry_space_group_name_Hall '-R 3 2"'
loop_
_atom_site_label
_atom_site_type_symbol
_atom_site_fract_x
_atom_site_fract_y
_atom_site_fract_z
Mn1 Mn 0.0000 0.0000 0.2391
Pt1 Pt 0.0000 0.0000 0.5000
Pb1 Pb 0.0000 0.0000 0.0000
```

=====

[5]
This record from Alexandria via LeMat-Bulk describes a geometry-optimized CsBaNb2O7 structure. The functional is PBE-GGA.

Summary:
- Magnetic moment: 0.09 μB/atom
- Fermi-level density of states: 0.413 states/eV/atom
- Formation energy without anion corrections: -2.401 eV per atom

Structure (CIF):
```
data_CsBaNb2O7
_chemical_formula_sum 'Cs2 Ba2 Nb4 O14'
_cell_length_a 4.0174
_cell_length_b 4.0174
_cell_length_c 25.1342
_cell_angle_alpha 90.00
_cell_angle_beta 90.00
_cell_angle_gamma 90.00
_symmetry_space_group_name_H-M 'I -4 m 2'
_symmetry_Int_Tables_number 119
_symmetry_space_group_name_Hall 'I -4 -2'
loop_
_atom_site_label
_atom_site_type_symbol
_atom_site_fract_x
_atom_site_fract_y
_atom_site_fract_z
Cs1 Cs 0.0000 0.0000 0.0000
Ba1 Ba 0.0000 0.5000 0.7500
Nb1 Nb 0.0000 0.5000 0.1538
O1 O 0.0000 0.0000 0.1682
O2 O 0.0000 0.0000 0.3316
O3 O 0.0000 0.5000 0.0822
O4 O 0.0000 0.5000 0.2500
```

=====

[6]
This record from Alexandria via LeMat-Bulk describes a geometry-optimized TlCu2Br structure. The functional is PBE-GGA.

Summary:
- Magnetic moment: 0.00 μB/atom
- Relative energy among the computed polymorphs: 240 meV per atom
- Fermi-level density of states: 0.247 states/eV/atom
- Formation energy without anion corrections: 0.288 eV per atom

Structure (CIF):
```
data_TlCu2Br
_chemical_formula_sum 'Tl1 Cu2 Br1'
_cell_length_a 3.6745
_cell_length_b 3.8457
_cell_length_c 6.2830
_cell_angle_alpha 90.00
_cell_angle_beta 90.00
_cell_angle_gamma 90.00
_symmetry_space_group_name_H-M 'P m m m'
_symmetry_Int_Tables_number 47
_symmetry_space_group_name_Hall '-P 2 2'
loop_
_atom_site_label
_atom_site_type_symbol
_atom_site_fract_x
_atom_site_fract_y
_atom_site_fract_z
Tl1 Tl 0.0000 0.0000 0.0000
Cu1 Cu 0.0000 0.5000 0.5000
Cu2 Cu 0.5000 0.5000 0.0000
Br1 Br 0.5000 0.0000 0.5000
```

=====

[7]
This record from Alexandria via LeMat-Bulk describes a geometry-optimized CeDyGe structure. The functional is PBE-GGA.

Summary:
- Magnetic moment: 0.31 μB/atom
- Fermi-level density of states: 2.357 states/eV/atom
- Formation enthalpy at 0 K: -0.22 eV per atom

Structure (CIF):
```
data_CeDyGe
_chemical_formula_sum 'Ce4 Dy4 Ge4'
_cell_length_a 4.0155
_cell_length_b 14.4142
_cell_length_c 6.1539
_cell_angle_alpha 90.00
_cell_angle_beta 90.00
_cell_angle_gamma 90.00
_symmetry_space_group_name_H-M 'C m c m'
_symmetry_Int_Tables_number 63
_symmetry_space_group_name_Hall '-C 2c 2'
loop_
_atom_site_label
_atom_site_type_symbol
_atom_site_fract_x
_atom_site_fract_y
_atom_site_fract_z
Ce1 Ce 0.0000 0.1016 0.2500
Dy1 Dy 0.0000 0.3309 0.2500
Ge1 Ge 0.0000 0.5000 0.0000
```

=====

[8]
This record from Alexandria via LeMat-Bulk describes a geometry-optimized TbPr2DyTe6 structure. The functional is PBE-GGA.

Summary:
- Magnetic moment: 0.00 μB/atom
- Formation energy without anion corrections: -1.374 eV per atom

Structure (CIF):
```
data_TbPr2DyTe6
_chemical_formula_sum 'Tb3 Pr6 Dy3 Te18'
_cell_length_a 7.8822
_cell_length_b 7.8822
_cell_length_c 21.2816
_cell_angle_alpha 90.00
_cell_angle_beta 90.00
_cell_angle_gamma 120.00
_symmetry_space_group_name_H-M 'R 3'
_symmetry_Int_Tables_number 146
_symmetry_space_group_name_Hall 'R 3'
loop_
_atom_site_label
_atom_site_type_symbol
_atom_site_fract_x
_atom_site_fract_y
_atom_site_fract_z
Tb1 Tb 0.0000 0.0000 0.0000
Pr1 Pr 0.0000 0.0000 0.3091
Pr2 Pr 0.0000 0.0000 0.8088
Dy1 Dy 0.0000 0.0000 0.5002
Te1 Te 0.0343 0.6865 0.5756
Te2 Te 0.0355 0.3486 0.0762
```